(1)
Compound: MgZnSn
Source: the Alexandria database
Functional: PBE-GGA
Structure: relaxed

Cell lengths 4.6603, 4.6603, 3.4964 Å; angles 90.00, 90.00, 120.00 degrees
Closest atoms and distances in Å follow each position.
Space group P3m1 (No. 156)
Inequivalent atoms, fractional coordinates:
Mg 0.0000 0.0000 0.0000 [1 per cell]  3 Zn 2.99, 6 Sn 3.15-3.27
Zn 0.3333 0.6667 0.3747 [1 per cell]  3 Sn 2.75, 3 Mg 2.99
Sn 0.6667 0.3333 0.5319 [1 per cell]  3 Zn 2.75

energy of formation: -0.01 eV/atom

***

(2)
Compound: MgZnSn
Source: the Alexandria database
Functional: PBE-GGA
Structure: relaxed

Cell lengths 4.3137, 5.2208, 6.5503 Å; angles 75.28, 89.91, 65.74 degrees
Closest atoms and distances in Å follow each position.
Space group P-1 (No. 2)
Inequivalent atoms, fractional coordinates:
Mg 0.1668 0.1658 0.3183 [2 per cell]  4 Zn 2.99-3.17, 5 Sn 3.06-3.12, 2 Mg 3.27-3.28
Zn 0.1702 0.1610 0.8354 [2 per cell]  4 Mg 2.99-3.17, 5 Sn 3.03-3.19, 2 Zn 3.13
Sn 0.5000 0.5000 0.0000 [1 per cell]  6 Zn 3.03-3.07, 4 Mg 3.11-3.12, 2 Sn 3.28
Sn 0.5000 0.5000 0.5000 [1 per cell]  6 Mg 3.06-3.11, 4 Zn 3.17-3.19, 2 Sn 3.28

energy of formation: 0.01 eV/atom

***

(3)
Compound: Mg5Zn3Sn12
Source: the Alexandria database
Functional: PBE-GGA
Structure: relaxed

Cell lengths 16.8038, 16.8038, 16.8038 Å; angles 90.00, 90.00, 90.00 degrees
Closest atoms and distances in Å follow each position.
Space group Ia-3d (No. 230)
Inequivalent atoms, fractional coordinates:
Mg 0.0000 0.0000 0.0000 [16 per cell]  6 Sn 2.93
Mg 0.0000 0.2500 0.3750 [24 per cell]  4 Sn 2.91
Zn 0.0000 0.2500 0.1250 [24 per cell]  4 Sn 2.74
Sn 0.0171 0.0897 0.6483 [96 per cell]  1 Zn 2.74, 2 Mg 2.91-2.93, 1 Sn 3.06

energy of formation: 0.14 eV/atom

***

(4)
Compound: Mg2ZnSn2
Source: the Alexandria database
Functional: PBE-GGA
Structure: relaxed

Cell lengths 4.6560, 4.6560, 12.3595 Å; angles 90.00, 90.00, 90.00 degrees
Closest atoms and distances in Å follow each position.
Space group I4/mmm (No. 139)
Inequivalent atoms, fractional coordinates:
Mg 0.0000 0.5000 0.2500 [4 per cell]  4 Sn 2.89
Zn 0.0000 0.0000 0.0000 [2 per cell]  8 Sn 3.57, 8 Mg 3.87
Sn 0.0000 0.0000 0.3891 [4 per cell]  1 Sn 2.74, 4 Mg 2.89

energy of formation: 0.16 eV/atom
E above lowest polymorph: 214 meV/atom

***

(5)
Compound: MgZnSn3
Source: the Alexandria database
Functional: PBE-GGA
Structure: relaxed

Cell lengths 5.2653, 5.2653, 5.2653 Å; angles 90.00, 90.00, 90.00 degrees
Closest atoms and distances in Å follow each position.
Space group Pm-3m (No. 221)
Inequivalent atoms, fractional coordinates:
Mg 0.0000 0.0000 0.0000 [1 per cell]  12 Sn 3.72
Zn 0.5000 0.5000 0.5000 [1 per cell]  6 Sn 2.63
Sn 0.0000 0.5000 0.5000 [3 per cell]  2 Zn 2.63

energy of formation: 0.35 eV/atom
E above lowest polymorph: 0 meV/atom

***

(6)
Compound: Mg2ZnSn2
Source: the Alexandria database
Functional: PBE-GGA
Structure: relaxed

Cell lengths 8.7725, 8.7725, 3.1698 Å; angles 90.00, 90.00, 90.00 degrees
Closest atoms and distances in Å follow each position.
Space group P4/mbm (No. 127)
Inequivalent atoms, fractional coordinates:
Mg 0.1339 0.3661 0.0000 [4 per cell]  6 Sn 2.96-3.08, 2 Mg 3.17
Zn 0.0000 0.0000 0.5000 [2 per cell]  2 Zn 3.17, 4 Sn 3.28
Sn 0.1650 0.6650 0.5000 [4 per cell]  6 Mg 2.96-3.08, 2 Sn 3.17, 2 Zn 3.28

energy of formation: 0.04 eV/atom
E above lowest polymorph: 93 meV/atom